Compound: Er3TmAl
Source: the Alexandria database
Functional: PBE
Structure: relaxed

E above lowest polymorph = 392 meV/atom
Volume = 32.0 A^3/atom
Theoretical density = 7.24 Mg/m³
Formation enthalpy at 0 K = 0.2408 eV per atom

a b c (Å): 8.1645 8.1645 8.3214
angles (deg): 90.00 90.00 120.00
Space group R3m (No. 160, hexagonal axes)
Symmetry-distinct sites (fractional):
Er (0.1969, 0.3937, 0.0000) (multiplicity 9)
Tm (0.0000, 0.0000, 0.6948) (multiplicity 3)
Al (0.0000, 0.0000, 0.0619) (multiplicity 3)